VASP calculation (GGA+U) on TlWO2 after structural relaxation.

Cell: 3.3004 3.3004 21.8439 Å, 90.00 90.00 120.00°
Space group R-3m (No. 166, hexagonal axes)
Asymmetric unit:
1 Tl 0.0000 0.0000 0.0000 x3
2 W 0.0000 0.0000 0.5000 x3
3 O 0.0000 0.0000 0.1223 x6

Summary:
The crystal system is trigonal. Its density of states at the Fermi level is 0.3101 states/eV/atom. The value obtained for the uncorrected energy is -6.137 eV/atom.